Material: AlCoB5
Method: DFT, PBE
State: relaxed

abc: 6.7679 5.2655 6.3652
angles: 90.00 90.20 90.00
Space group C2/c (No. 15)
Inequivalent atoms, fractional coordinates:
Al 0.2500 0.2500 0.0000 x4
Co 0.0000 0.0513 0.2500 x4
B 0.0000 0.3619 0.7500 x4
B 0.1290 0.1996 0.5371 x8
B 0.1535 0.3939 0.3224 x8

Results
DFT formation energy   0.127 eV per atom
Size of the total moment   0.0 μB/cell
Uncorrected energy   -6.19 eV per atom